Entry 1:
Computed, not measured: a relaxed ZnBrCl2 crystal at the PBE-GGA level of DFT.

Values from the calculation:
Energy, eV per atom: -2.162

a = 7.528 Å, b = 7.528 Å, c = 7.528 Å
α = 152.67°, β = 137.60°, γ = 51.18°
Positions (direct):
Zn 0.535 0.535 0.000
Br 0.400 0.900 0.500
Cl 0.919 0.919 0.000
Cl 0.647 0.147 0.500

=====

Entry 2:
Computed, not measured: a relaxed ZnBrCl2 crystal at the PBE-GGA level of DFT.

Values from the calculation:
Energy, eV per atom: -2.239

a = 7.855 Å, b = 6.788 Å, c = 6.635 Å
α = 152.82°, β = 123.61°, γ = 73.76°
Positions (direct):
Zn 0.250 0.750 0.500
Br 0.750 0.250 0.500
Cl 0.100 0.980 0.878
Cl 0.400 0.520 0.122

=====

Entry 3:
Computed, not measured: a relaxed ZnBrCl2 crystal at the PBE-GGA level of DFT.

Values from the calculation:
Energy, eV per atom: -1.695

a = 5.310 Å, b = 5.239 Å, c = 5.145 Å
α = 63.28°, β = 85.31°, γ = 117.82°
Positions (direct):
Zn 0.000 0.500 0.500
Br 0.500 0.500 0.000
Cl 0.000 0.000 0.000
Cl 0.500 0.000 0.500

=====

Entry 4:
Computed, not measured: a relaxed ZnBrCl2 crystal at the PBE-GGA level of DFT.

Values from the calculation:
Energy, eV per atom: -1.978

a = 3.121 Å, b = 3.121 Å, c = 11.035 Å
α = 90.00°, β = 90.00°, γ = 90.00°
Positions (direct):
Zn 0.500 0.500 0.250
Br 0.500 0.500 0.750
Cl 0.000 0.000 0.112
Cl 0.000 0.000 0.388

=====

Entry 5:
Computed, not measured: a relaxed ZnBrCl2 crystal at the PBE-GGA level of DFT.

Values from the calculation:
Energy, eV per atom: -2.274

a = 7.104 Å, b = 7.104 Å, c = 6.926 Å
α = 63.96°, β = 63.96°, γ = 25.39°
Positions (direct):
Zn 0.402 0.402 0.819
Br 0.229 0.229 0.183
Cl 0.011 0.011 0.882
Cl 0.859 0.859 0.616

=====

Entry 6:
Computed, not measured: a relaxed ZnBrCl3 crystal at the PBE-GGA level of DFT.

Values from the calculation:
Energy, eV per atom: -1.919

a = 4.918 Å, b = 4.918 Å, c = 4.918 Å
α = 90.00°, β = 90.00°, γ = 90.00°
Positions (direct):
Zn 0.000 0.000 0.000
Br 0.500 0.500 0.500
Cl 0.000 0.500 0.000
Cl 0.000 0.000 0.500
Cl 0.500 0.000 0.000

=====

Entry 7:
Computed, not measured: a relaxed ZnBr2Cl crystal at the PBE-GGA level of DFT.

Values from the calculation:
Energy, eV per atom: -1.783

a = 3.208 Å, b = 3.218 Å, c = 10.836 Å
α = 90.00°, β = 90.00°, γ = 90.00°
Positions (direct):
Br 0.000 0.000 0.898
Br 0.500 0.500 0.255
Cl 0.000 0.000 0.607
Zn 0.500 0.500 0.740

=====

Entry 8:
Computed, not measured: a relaxed ZnBr2Cl crystal at the PBE-GGA level of DFT.

Values from the calculation:
Energy, eV per atom: -1.929

a = 7.294 Å, b = 7.294 Å, c = 6.989 Å
α = 58.54°, β = 58.54°, γ = 90.00°
Positions (direct):
Zn 0.000 0.000 0.000
Zn 0.750 0.250 0.500
Br 0.716 0.125 0.250
Br 0.034 0.625 0.250
Br 0.375 0.284 0.750
Br 0.875 0.966 0.750
Cl 0.500 0.500 0.000
Cl 0.250 0.750 0.500

=====

Entry 9:
Computed, not measured: a relaxed ZnBrCl2 crystal at the PBE-GGA level of DFT.

Values from the calculation:
Energy, eV per atom: -1.951

a = 11.051 Å, b = 11.051 Å, c = 11.051 Å
α = 19.41°, β = 19.41°, γ = 19.41°
Positions (direct):
Zn 0.000 0.000 0.000
Br 0.500 0.500 0.500
Cl 0.937 0.937 0.937
Cl 0.063 0.063 0.063

=====

Entry 10:
Computed, not measured: a relaxed Zn5Br3Cl12 crystal at the PBE-GGA level of DFT.

Values from the calculation:
Energy, eV per atom: -2.227

a = 13.998 Å, b = 13.998 Å, c = 13.998 Å
α = 109.47°, β = 109.47°, γ = 109.47°
Positions (direct):
Br 0.750 0.375 0.125
Br 0.875 0.750 0.125
Br 0.375 0.750 0.625
Br 0.250 0.125 0.375
Br 0.875 0.125 0.250
Br 0.375 0.625 0.250
Br 0.625 0.375 0.750
Br 0.125 0.875 0.750
Br 0.750 0.875 0.625
Br 0.625 0.250 0.375
Br 0.125 0.250 0.875
Br 0.250 0.625 0.875
Zn 0.125 0.375 0.250
Zn 0.000 0.500 0.000
Zn 0.000 0.000 0.000
Zn 0.375 0.250 0.125
Zn 0.500 0.000 0.500
Zn 0.500 0.500 0.000
Zn 0.125 0.750 0.375
Zn 0.750 0.125 0.875
Zn 0.750 0.625 0.375
Zn 0.375 0.125 0.750
Zn 0.625 0.875 0.250
Zn 0.500 0.500 0.500
Zn 0.500 0.000 0.000
Zn 0.000 0.000 0.500
Zn 0.250 0.375 0.625
Zn 0.250 0.875 0.125
Zn 0.000 0.500 0.500
Zn 0.875 0.250 0.625
Zn 0.625 0.750 0.875
Zn 0.875 0.625 0.750
Cl 0.686 0.114 0.005
Cl 0.320 0.505 0.391
Cl 0.995 0.386 0.314
Cl 0.505 0.186 0.114
Cl 0.572 0.686 0.680
Cl 0.995 0.609 0.180
Cl 0.320 0.814 0.428
Cl 0.109 0.928 0.114
Cl 0.609 0.995 0.680
Cl 0.686 0.572 0.180
Cl 0.814 0.495 0.386
Cl 0.820 0.891 0.005
Cl 0.114 0.686 0.505
Cl 0.386 0.391 0.072
Cl 0.072 0.891 0.386
Cl 0.428 0.114 0.609
Cl 0.072 0.180 0.186
Cl 0.495 0.680 0.109
Cl 0.820 0.928 0.314
Cl 0.114 0.428 0.109
Cl 0.386 0.995 0.814
Cl 0.609 0.614 0.428
Cl 0.891 0.820 0.505
Cl 0.814 0.320 0.928
Cl 0.391 0.386 0.572
Cl 0.109 0.180 0.495
Cl 0.186 0.680 0.072
Cl 0.180 0.072 0.686
Cl 0.614 0.005 0.186
Cl 0.886 0.572 0.891
Cl 0.505 0.320 0.891
Cl 0.572 0.886 0.391
Cl 0.928 0.820 0.814
Cl 0.928 0.109 0.614
Cl 0.886 0.314 0.495
Cl 0.180 0.109 0.995
Cl 0.614 0.609 0.928
Cl 0.391 0.005 0.320
Cl 0.314 0.428 0.820
Cl 0.186 0.505 0.614
Cl 0.891 0.072 0.886
Cl 0.680 0.186 0.572
Cl 0.495 0.814 0.886
Cl 0.005 0.391 0.820
Cl 0.428 0.314 0.320
Cl 0.005 0.614 0.686
Cl 0.680 0.495 0.609
Cl 0.314 0.886 0.995

=====

Entry 11:
Computed, not measured: a relaxed ZnBr2Cl crystal at the PBE-GGA level of DFT.

Values from the calculation:
Energy, eV per atom: -1.343

a = 5.035 Å, b = 5.035 Å, c = 3.646 Å
α = 90.00°, β = 90.00°, γ = 90.00°
Positions (direct):
Br 0.000 0.000 0.000
Br 0.500 0.500 0.000
Cl 0.500 0.000 0.500
Zn 0.000 0.500 0.500

=====

Entry 12:
Computed, not measured: a relaxed ZnBr2Cl crystal at the PBE-GGA level of DFT.

Values from the calculation:
Energy, eV per atom: -1.611

a = 3.957 Å, b = 3.959 Å, c = 7.390 Å
α = 90.00°, β = 90.00°, γ = 90.00°
Positions (direct):
Br 0.000 0.000 0.000
Br 0.500 0.500 0.000
Cl 0.500 0.000 0.500
Zn 0.000 0.500 0.500

=====

Formation energy (no corrections)? In order: -501.9, -579.4, -35.0, -317.9, -614.0, -222.0, -166.8, -312.3, -291.1, -549.3, 273.7, 5.7 meV/atom.